This record from Alexandria describes Cs2AgF4 after structural relaxation. The functional is PBE.

Output
Space-group type: P4/mmm (123)
Formation energy (no corrections), eV/atom: -2.087

a = 6.8721 Å, b = 6.8721 Å, c = 3.9758 Å
α = 90.00°, β = 90.00°, γ = 90.00°
Last column: nearest neighbours and their distance in Å.
Positions (direct):
Cs 0.0000 0.5000 0.0000  8 F 3.16
Cs 0.5000 0.0000 0.0000  8 F 3.16
Ag 0.0000 0.0000 0.5000  4 F 2.10
F 0.2164 0.2164 0.5000  1 Ag 2.10
F 0.2164 0.7836 0.5000  1 Ag 2.10
F 0.7836 0.2164 0.5000  1 Ag 2.10
F 0.7836 0.7836 0.5000  1 Ag 2.10

=====

This record from Alexandria describes Cs3Ag2F9 after structural relaxation. The functional is PBE.

Output
Space-group type: P-3m1 (164)
Formation energy (no corrections), eV/atom: -1.843

a = 6.3600 Å, b = 6.3600 Å, c = 8.0826 Å
α = 90.00°, β = 90.00°, γ = 120.00°
Last column: nearest neighbours and their distance in Å.
Positions (direct):
Cs 0.0000 0.0000 0.0000  12 F 3.09-3.18
Cs 0.3333 0.6667 0.3677  12 F 3.22-3.49
Cs 0.6667 0.3333 0.6323  12 F 3.22-3.49
Ag 0.3333 0.6667 0.8561  6 F 2.07-2.17
Ag 0.6667 0.3333 0.1439  6 F 2.07-2.17
F 0.0000 0.5000 0.0000  2 Ag 2.17
F 0.1803 0.3606 0.7071  1 Ag 2.07
F 0.1803 0.8197 0.7071  1 Ag 2.07
F 0.3606 0.1803 0.2929  1 Ag 2.07
F 0.5000 0.0000 0.0000  2 Ag 2.17
F 0.5000 0.5000 0.0000  2 Ag 2.17
F 0.6394 0.8197 0.7071  1 Ag 2.07
F 0.8197 0.1803 0.2929  1 Ag 2.07
F 0.8197 0.6394 0.2929  1 Ag 2.07

=====

This record from Alexandria describes CsAg3F3 after structural relaxation. The functional is PBE.

Output
Space-group type: Pm-3n (223)
Formation energy (no corrections), eV/atom: -1.009

a = 6.8518 Å, b = 6.8518 Å, c = 6.8518 Å
α = 90.00°, β = 90.00°, γ = 90.00°
Last column: nearest neighbours and their distance in Å.
Positions (direct):
Cs 0.0000 0.0000 0.0000  12 F 3.83, 12 Ag 3.83
Cs 0.5000 0.5000 0.5000  12 F 3.83, 12 Ag 3.83
Ag 0.0000 0.2500 0.5000  4 F 2.42
Ag 0.0000 0.7500 0.5000  4 F 2.42
Ag 0.2500 0.5000 0.0000  4 F 2.42
Ag 0.5000 0.0000 0.2500  4 F 2.42
Ag 0.5000 0.0000 0.7500  4 F 2.42
Ag 0.7500 0.5000 0.0000  4 F 2.42
F 0.0000 0.5000 0.2500  4 Ag 2.42
F 0.0000 0.5000 0.7500  4 Ag 2.42
F 0.2500 0.0000 0.5000  4 Ag 2.42
F 0.5000 0.2500 0.0000  4 Ag 2.42
F 0.5000 0.7500 0.0000  4 Ag 2.42
F 0.7500 0.0000 0.5000  4 Ag 2.42

=====

This record from Alexandria describes CsAgF4 after structural relaxation. The functional is PBE.

Output
Space-group type: P4_2/nmc (137)
Formation energy (no corrections), eV/atom: -1.420

a = 5.8993 Å, b = 5.8993 Å, c = 8.2524 Å
α = 90.00°, β = 90.00°, γ = 90.00°
Last column: nearest neighbours and their distance in Å.
Positions (direct):
Cs 0.2500 0.7500 0.2500  4 F 3.06
Cs 0.7500 0.2500 0.7500  4 F 3.06
Ag 0.2500 0.7500 0.7500  4 F 2.04
Ag 0.7500 0.2500 0.2500  4 F 2.04
F 0.0042 0.7500 0.5763  1 Ag 2.04
F 0.2500 0.5042 0.9237  1 Ag 2.04
F 0.2500 0.9958 0.9237  1 Ag 2.04
F 0.4958 0.7500 0.5763  1 Ag 2.04
F 0.5042 0.2500 0.4237  1 Ag 2.04
F 0.7500 0.0042 0.0763  1 Ag 2.04
F 0.7500 0.4958 0.0763  1 Ag 2.04
F 0.9958 0.2500 0.4237  1 Ag 2.04

=====

This record from Alexandria describes CsAg3F after structural relaxation. The functional is PBE.

Output
Space-group type: Pm-3m (221)
Formation energy (no corrections), eV/atom: 0.001

a = 5.0908 Å, b = 5.0908 Å, c = 5.0908 Å
α = 90.00°, β = 90.00°, γ = 90.00°
Last column: nearest neighbours and their distance in Å.
Positions (direct):
Cs 0.0000 0.0000 0.0000  12 Ag 3.60
Ag 0.0000 0.5000 0.5000  2 F 2.55
Ag 0.5000 0.0000 0.5000  2 F 2.55
Ag 0.5000 0.5000 0.0000  2 F 2.55
F 0.5000 0.5000 0.5000  6 Ag 2.55

=====

This record from Alexandria describes Cs5Ag3F12 after structural relaxation. The functional is PBE.

Output
Space-group type: Ia-3d (230)
Formation energy (no corrections), eV/atom: -1.804

a = 14.1619 Å, b = 14.1619 Å, c = 14.1619 Å
α = 109.47°, β = 109.47°, γ = 109.47°
Last column: nearest neighbours and their distance in Å.
Positions (direct):
Cs 0.0000 0.0000 0.0000  6 F 2.96
Cs 0.0000 0.0000 0.5000  6 F 2.96
Cs 0.0000 0.5000 0.0000  6 F 2.96
Cs 0.0000 0.5000 0.5000  6 F 2.96
Cs 0.1250 0.7500 0.8750  4 F 2.86
Cs 0.1250 0.8750 0.2500  4 F 2.86
Cs 0.2500 0.1250 0.8750  4 F 2.86
Cs 0.2500 0.6250 0.3750  4 F 2.86
Cs 0.3750 0.2500 0.6250  4 F 2.86
Cs 0.3750 0.6250 0.7500  4 F 2.86
Cs 0.5000 0.0000 0.0000  6 F 2.96
Cs 0.5000 0.0000 0.5000  6 F 2.96
Cs 0.5000 0.5000 0.0000  6 F 2.96
Cs 0.5000 0.5000 0.5000  6 F 2.96
Cs 0.6250 0.3750 0.2500  4 F 2.86
Cs 0.6250 0.7500 0.3750  4 F 2.86
Cs 0.7500 0.3750 0.6250  4 F 2.86
Cs 0.7500 0.8750 0.1250  4 F 2.86
Cs 0.8750 0.1250 0.7500  4 F 2.86
Cs 0.8750 0.2500 0.1250  4 F 2.86
Ag 0.1250 0.2500 0.3750  4 F 2.09
Ag 0.1250 0.3750 0.7500  4 F 2.09
Ag 0.2500 0.3750 0.1250  4 F 2.09
Ag 0.2500 0.8750 0.6250  4 F 2.09
Ag 0.3750 0.1250 0.2500  4 F 2.09
Ag 0.3750 0.7500 0.1250  4 F 2.09
Ag 0.6250 0.2500 0.8750  4 F 2.09
Ag 0.6250 0.8750 0.7500  4 F 2.09
Ag 0.7500 0.1250 0.3750  4 F 2.09
Ag 0.7500 0.6250 0.8750  4 F 2.09
Ag 0.8750 0.6250 0.2500  4 F 2.09
Ag 0.8750 0.7500 0.6250  4 F 2.09
F 0.0081 0.7116 0.6466  1 Ag 2.09
F 0.0081 0.7964 0.3615  1 Ag 2.09
F 0.0650 0.2116 0.2036  1 Ag 2.09
F 0.0650 0.3534 0.8615  1 Ag 2.09
F 0.1385 0.7036 0.4919  1 Ag 2.09
F 0.1385 0.9350 0.6466  1 Ag 2.09
F 0.1466 0.2116 0.5081  1 Ag 2.09
F 0.1466 0.4350 0.6385  1 Ag 2.09
F 0.2036 0.0650 0.2116  1 Ag 2.09
F 0.2036 0.6385 0.9919  1 Ag 2.09
F 0.2116 0.2036 0.0650  1 Ag 2.09
F 0.2116 0.5081 0.1466  1 Ag 2.09
F 0.2884 0.3534 0.9919  1 Ag 2.09
F 0.2884 0.4350 0.2964  1 Ag 2.09
F 0.2964 0.2884 0.4350  1 Ag 2.09
F 0.2964 0.5081 0.8615  1 Ag 2.09
F 0.3534 0.8615 0.0650  1 Ag 2.09
F 0.3534 0.9919 0.2884  1 Ag 2.09
F 0.3615 0.0081 0.7964  1 Ag 2.09
F 0.3615 0.8534 0.5650  1 Ag 2.09
F 0.4350 0.2964 0.2884  1 Ag 2.09
F 0.4350 0.6385 0.1466  1 Ag 2.09
F 0.4919 0.1385 0.7036  1 Ag 2.09
F 0.4919 0.8534 0.7884  1 Ag 2.09
F 0.5081 0.1466 0.2116  1 Ag 2.09
F 0.5081 0.8615 0.2964  1 Ag 2.09
F 0.5650 0.3615 0.8534  1 Ag 2.09
F 0.5650 0.7036 0.7116  1 Ag 2.09
F 0.6385 0.1466 0.4350  1 Ag 2.09
F 0.6385 0.9919 0.2036  1 Ag 2.09
F 0.6466 0.0081 0.7116  1 Ag 2.09
F 0.6466 0.1385 0.9350  1 Ag 2.09
F 0.7036 0.4919 0.1385  1 Ag 2.09
F 0.7036 0.7116 0.5650  1 Ag 2.09
F 0.7116 0.5650 0.7036  1 Ag 2.09
F 0.7116 0.6466 0.0081  1 Ag 2.09
F 0.7884 0.4919 0.8534  1 Ag 2.09
F 0.7884 0.7964 0.9350  1 Ag 2.09
F 0.7964 0.3615 0.0081  1 Ag 2.09
F 0.7964 0.9350 0.7884  1 Ag 2.09
F 0.8534 0.5650 0.3615  1 Ag 2.09
F 0.8534 0.7884 0.4919  1 Ag 2.09
F 0.8615 0.0650 0.3534  1 Ag 2.09
F 0.8615 0.2964 0.5081  1 Ag 2.09
F 0.9350 0.6466 0.1385  1 Ag 2.09
F 0.9350 0.7884 0.7964  1 Ag 2.09
F 0.9919 0.2036 0.6385  1 Ag 2.09
F 0.9919 0.2884 0.3534  1 Ag 2.09

=====

This record from Alexandria describes Cs4AgF after structural relaxation. The functional is PBE.

Output
Space-group type: P2_1/m (11)
Formation energy (no corrections), eV/atom: -0.835

a = 7.8333 Å, b = 12.7039 Å, c = 7.8676 Å
α = 90.00°, β = 101.37°, γ = 90.00°
Last column: nearest neighbours and their distance in Å.
Positions (direct):
Cs 0.1548 0.2500 0.2779  1 F 2.83
Cs 0.2210 0.7500 0.3496  1 F 2.83
Cs 0.2871 0.0591 0.7861  1 F 2.86
Cs 0.2871 0.4409 0.7861  1 F 2.86
Cs 0.7129 0.5591 0.2139  1 F 2.86
Cs 0.7129 0.9409 0.2139  1 F 2.86
Cs 0.7790 0.2500 0.6504  1 F 2.83
Cs 0.8452 0.7500 0.7221  1 F 2.83
Ag 0.3808 0.7500 0.8849  8 Cs 4.04-4.15
Ag 0.6192 0.2500 0.1151  8 Cs 4.04-4.15
F 0.1365 0.2500 0.6335  4 Cs 2.83-2.86
F 0.8635 0.7500 0.3665  4 Cs 2.83-2.86

=====

This record from Alexandria describes Cs4AgF5 after structural relaxation. The functional is PBE.

Output
Space-group type: I4/m (87)
Formation energy (no corrections), eV/atom: -2.284

a = 8.3958 Å, b = 8.3958 Å, c = 8.3958 Å
α = 94.09°, β = 94.09°, γ = 149.04°
Last column: nearest neighbours and their distance in Å.
Positions (direct):
Cs 0.0883 0.2414 0.3296  6 F 2.92-3.20
Cs 0.2414 0.9117 0.1531  6 F 2.92-3.20
Cs 0.7586 0.0883 0.8469  6 F 2.92-3.20
Cs 0.9117 0.7586 0.6704  6 F 2.92-3.20
Ag 0.5000 0.5000 0.0000  2 F 2.24
F 0.0000 0.0000 0.0000  2 Ag 2.24
F 0.2808 0.4088 0.6895  1 Ag 2.72, 1 Cs 2.92
F 0.4088 0.7192 0.1280  1 Ag 2.72, 1 Cs 2.92
F 0.5912 0.2808 0.8720  1 Ag 2.72, 1 Cs 2.92
F 0.7192 0.5912 0.3105  1 Ag 2.72, 1 Cs 2.92